Na2MnRhO4: relaxed, GGA+U.

Values from the calculation:
- Volume: 10.8 Å³ per atom
- Energy: -47.22 eV/f.u.

Unit cell a=5.345 b=3.073 c=5.571 alpha=90.00 beta=108.66 gamma=90.00
Space group P2/m (No. 10)
Asymmetric unit:
1 Na 0.000 0.000 0.000 x1
2 Na 0.500 0.500 0.000 x1
3 Mn 0.000 0.500 0.500 x1
4 Rh 0.500 0.000 0.500 x1
5 O 0.222 0.000 0.696 x2
6 O 0.258 0.500 0.299 x2